Record 1
AcHgP | PBE-GGA | relaxed

Values from the calculation:
- crystal system = trigonal
- symmetry = P3m1 (156)
- formation energy from the elements (meV per atom) = -725
- energy relative to the lowest polymorph listed for this composition (eV per atom) = 0.182

a = 4.4780 Å, b = 4.4780 Å, c = 5.0497 Å
α = 90.00°, β = 90.00°, γ = 120.00°
With the nearest neighbours (Å) after each atom.
Positions (direct):
1 Ac 0.0000 0.0000 0.0000  3 P 3.03, 3 Hg 3.36
2 Hg 0.3333 0.6667 0.4244  3 P 2.91
3 P 0.6667 0.3333 0.6887  3 Hg 2.91, 3 Ac 3.03

***

Record 2
AcHgP4 | PBE-GGA | relaxed

Values from the calculation:
- DOS at the Fermi energy (states/eV per atom) = 0.44
- crystal system = cubic
- symmetry = F-43m (216)
- formation energy from the elements (meV per atom) = -178

a = 5.6101 Å, b = 5.6101 Å, c = 5.6101 Å
α = 60.00°, β = 60.00°, γ = 60.00°
With the nearest neighbours (Å) after each atom.
Positions (direct):
1 Ac 0.0000 0.0000 0.0000  12 P 3.34, 4 Hg 3.44
2 Hg 0.7500 0.7500 0.7500  12 P 3.26, 4 Ac 3.44
3 P 0.3925 0.3925 0.3925  3 P 2.41
4 P 0.3925 0.3925 0.8226  3 P 2.41
5 P 0.3925 0.8226 0.3925  3 P 2.41
6 P 0.8226 0.3925 0.3925  3 P 2.41

***

Record 3
Ac4Hg2P | PBE-GGA | relaxed

Values from the calculation:
- DOS at the Fermi energy (states/eV per atom) = 1.04
- crystal system = monoclinic
- symmetry = C2/m (12)
- formation energy from the elements (meV per atom) = -648
- energy relative to the lowest polymorph listed for this composition (eV per atom) = 0.000

a = 7.5667 Å, b = 7.5667 Å, c = 9.4694 Å
α = 122.48°, β = 122.48°, γ = 33.88°
With the nearest neighbours (Å) after each atom.
Positions (direct):
1 Ac 0.0883 0.0883 0.3769  1 P 3.04
2 Ac 0.3343 0.3343 0.9197  2 P 3.02
3 Ac 0.6657 0.6657 0.0803  2 P 3.02
4 Ac 0.9117 0.9117 0.6231  1 P 3.04
5 Hg 0.3787 0.3787 0.3187  1 Hg 3.25, 7 Ac 3.41-3.53
6 Hg 0.6213 0.6213 0.6813  1 Hg 3.25, 7 Ac 3.41-3.53
7 P 0.0000 0.0000 0.0000  6 Ac 3.02-3.04

***

Record 4
AcHgP2 | PBE-GGA | relaxed

Values from the calculation:
- DOS at the Fermi energy (states/eV per atom) = 1.35
- crystal system = trigonal
- symmetry = R-3m (166)
- formation energy from the elements (meV per atom) = -345
- energy relative to the lowest polymorph listed for this composition (eV per atom) = 0.048

a = 8.0209 Å, b = 8.0209 Å, c = 8.0209 Å
α = 34.48°, β = 34.48°, γ = 34.48°
With the nearest neighbours (Å) after each atom.
Positions (direct):
1 Ac 0.0000 0.0000 0.0000  6 P 3.07
2 Hg 0.5000 0.5000 0.5000  2 P 2.39
3 P 0.3945 0.3945 0.3945  1 Hg 2.39
4 P 0.6055 0.6055 0.6055  1 Hg 2.39

***

Record 5
AcHgP2 | PBE-GGA | relaxed

Values from the calculation:
- DOS at the Fermi energy (states/eV per atom) = 0.48
- crystal system = tetragonal
- symmetry = P4/mmm (123)
- formation energy from the elements (meV per atom) = -394
- energy relative to the lowest polymorph listed for this composition (eV per atom) = 0.000

a = 4.8139 Å, b = 4.8139 Å, c = 4.0583 Å
α = 90.00°, β = 90.00°, γ = 90.00°
With the nearest neighbours (Å) after each atom.
Positions (direct):
1 Ac 0.0000 0.0000 0.0000  8 P 3.15, 4 Hg 3.40
2 Hg 0.5000 0.5000 0.0000  8 P 3.15, 4 Ac 3.40
3 P 0.0000 0.5000 0.5000  4 Hg 3.15, 4 Ac 3.15, 4 P 3.40
4 P 0.5000 0.0000 0.5000  4 Hg 3.15, 4 Ac 3.15, 4 P 3.40

***

Record 6
Ac3HgP | PBE-GGA | relaxed

Values from the calculation:
- DOS at the Fermi energy (states/eV per atom) = 1.42
- crystal system = cubic
- symmetry = Pm-3m (221)
- formation energy from the elements (meV per atom) = -471

a = 5.8302 Å, b = 5.8302 Å, c = 5.8302 Å
α = 90.00°, β = 90.00°, γ = 90.00°
With the nearest neighbours (Å) after each atom.
Positions (direct):
1 Ac 0.0000 0.0000 0.5000  2 P 2.92
2 Ac 0.0000 0.5000 0.0000  2 P 2.92
3 Ac 0.5000 0.0000 0.0000  2 P 2.92
4 Hg 0.5000 0.5000 0.5000  12 Ac 4.12
5 P 0.0000 0.0000 0.0000  6 Ac 2.92

***

Record 7
Ac2HgP | PBE-GGA | relaxed

Values from the calculation:
- DOS at the Fermi energy (states/eV per atom) = 1.24
- crystal system = trigonal
- symmetry = R-3m (166)
- formation energy from the elements (meV per atom) = -895
- energy relative to the lowest polymorph listed for this composition (eV per atom) = 0.000

a = 8.6038 Å, b = 8.6038 Å, c = 8.6038 Å
α = 29.42°, β = 29.42°, γ = 29.42°
With the nearest neighbours (Å) after each atom.
Positions (direct):
1 Ac 0.2383 0.2383 0.2383  3 P 3.08, 3 Hg 3.44
2 Ac 0.7617 0.7617 0.7617  3 P 3.08, 3 Hg 3.44
3 Hg 0.0000 0.0000 0.0000  6 Ac 3.44
4 P 0.5000 0.5000 0.5000  6 Ac 3.08

***

Record 8
Ac2HgP | PBE-GGA | relaxed

Values from the calculation:
- DOS at the Fermi energy (states/eV per atom) = 0.81
- crystal system = trigonal
- symmetry = R3m (160)
- formation energy from the elements (meV per atom) = -887
- energy relative to the lowest polymorph listed for this composition (eV per atom) = 0.008

a = 8.7230 Å, b = 8.7230 Å, c = 8.7230 Å
α = 28.65°, β = 28.65°, γ = 28.65°
With the nearest neighbours (Å) after each atom.
Positions (direct):
1 Ac 0.0000 0.0000 0.0000  3 P 3.07
2 Ac 0.1916 0.1916 0.1916  3 P 3.06
3 Hg 0.7630 0.7630 0.7630  6 Ac 3.45-3.47
4 P 0.5954 0.5954 0.5954  6 Ac 3.06-3.07

***

Record 9
AcHgP | PBE-GGA | relaxed

Values from the calculation:
- DOS at the Fermi energy (states/eV per atom) = 0.29
- crystal system = tetragonal
- symmetry = I4mm (107)
- formation energy from the elements (meV per atom) = -561
- energy relative to the lowest polymorph listed for this composition (eV per atom) = 0.346

a = 5.8856 Å, b = 5.8856 Å, c = 5.8856 Å
α = 138.88°, β = 138.88°, γ = 59.55°
With the nearest neighbours (Å) after each atom.
Positions (direct):
1 Ac 0.0000 0.0000 0.0000  4 P 3.12, 1 Hg 3.14
2 Hg 0.6925 0.6925 0.0000  1 P 3.04, 1 Ac 3.14
3 P 0.3945 0.3945 0.0000  1 Hg 3.04, 4 Ac 3.12

***

Record 10
Ac3HgP2Pd9 | PBE-GGA | relaxed

Values from the calculation:
- DOS at the Fermi energy (states/eV per atom) = 0.54
- crystal system = trigonal
- symmetry = P-3m1 (164)
- formation energy from the elements (meV per atom) = -648

a = 7.3155 Å, b = 7.3155 Å, c = 7.1401 Å
α = 90.00°, β = 90.00°, γ = 120.00°
With the nearest neighbours (Å) after each atom.
Positions (direct):
1 Ac 0.0000 0.0000 0.0000  12 Pd 3.32-3.66, 2 Hg 3.57
2 Ac 0.3333 0.6667 0.6675  6 Pd 3.07-3.18, 1 P 3.28
3 Ac 0.6667 0.3333 0.3325  6 Pd 3.07-3.18, 1 P 3.28
4 Hg 0.0000 0.0000 0.5000  6 Pd 2.70
5 P 0.3333 0.6667 0.1266  6 Pd 2.30-2.32
6 P 0.6667 0.3333 0.8734  6 Pd 2.30-2.32
7 Pd 0.0000 0.5000 0.0000  2 P 2.30
8 Pd 0.1881 0.3761 0.3234  1 P 2.32
9 Pd 0.1881 0.8119 0.3234  1 P 2.32
10 Pd 0.3761 0.1881 0.6766  1 P 2.32
11 Pd 0.5000 0.0000 0.0000  2 P 2.30
12 Pd 0.5000 0.5000 0.0000  2 P 2.30
13 Pd 0.6239 0.8119 0.3234  1 P 2.32
14 Pd 0.8119 0.1881 0.6766  1 P 2.32
15 Pd 0.8119 0.6239 0.6766  1 P 2.32

***

| no. | magnetization (μB per formula unit) |
| --- | --- |
| 1 | 0.0 |
| 2 | 0.0 |
| 3 | 0.0 |
| 4 | 0.0 |
| 5 | 0.0 |
| 6 | 0.0 |
| 7 | 0.0 |
| 8 | 0.0 |
| 9 | 0.0 |
| 10 | 0.0 |